No. 1
A relaxed NaMnCrC6N6 crystal, computed with PBE.

The total energy comes out at -8.230 eV per atom. As for the magnetic moment: 4.00 μB per formula unit. As for the uncorrected formation energy: 3.00 kcal/mol of atoms.

The structure belongs to space group F-43m (No. 216); the cell edges are 10.205, 10.205 and 10.205 Å and the angles 90.00°, 90.00° and 90.00°. The distinct sites, in fractional coordinates, are Na at (0.000, 0.000, 0.000), Mn at (0.250, 0.250, 0.750), Cr at (0.250, 0.250, 0.250), C at (0.054, 0.250, 0.250) and N at (0.062, 0.250, 0.750).

=====

No. 2
A relaxed Mn2NbCrC crystal, computed with PBE.

Its formation energy is -6.3 kJ per mole of atoms. The total energy comes out at -9.517 eV per atom. As for the magnetic moment: 2.34 μB per formula unit.

The structure belongs to space group P4/mmm (No. 123); the cell edges are 3.833, 3.833 and 3.949 Å and the angles 90.00°, 90.00° and 90.00°. The distinct sites, in fractional coordinates, are Mn at (0.000, 0.500, 0.000), Nb at (0.000, 0.000, 0.500), Cr at (0.500, 0.500, 0.500) and C at (0.500, 0.500, 0.000).

=====

No. 3
A relaxed MnCr2PdC crystal, computed with PBE.

Its formation energy is 42.5 kJ per mole of atoms. The total energy comes out at -8.126 eV per atom. As for the magnetic moment: 1.08 μB per formula unit.

The structure belongs to space group P4/mmm (No. 123); the cell edges are 3.854, 3.854 and 3.976 Å and the angles 90.00°, 90.00° and 90.00°. The distinct sites, in fractional coordinates, are Mn at (0.000, 0.000, 0.000), Cr at (0.000, 0.500, 0.500), Pd at (0.500, 0.500, 0.000) and C at (0.500, 0.500, 0.500).

=====

No. 4
A relaxed MnCrPt2C crystal, computed with PBE.

Its formation energy is 52.1 kJ per mole of atoms. The total energy comes out at -7.480 eV per atom. As for the magnetic moment: 0.24 μB per formula unit.

The structure belongs to space group P4/mmm (No. 123); the cell edges are 4.156, 4.156 and 3.736 Å and the angles 90.00°, 90.00° and 90.00°. The distinct sites, in fractional coordinates, are Mn at (0.000, 0.000, 0.000), Cr at (0.500, 0.500, 0.000), Pt at (0.000, 0.500, 0.500) and C at (0.000, 0.000, 0.500).

=====

No. 5
A relaxed MnCr2RhC crystal, computed with PBE.

Its formation energy is -2.0 kJ per mole of atoms. The total energy comes out at -9.019 eV per atom. As for the magnetic moment: 0.31 μB per formula unit.

The structure belongs to space group P4/mmm (No. 123); the cell edges are 3.861, 3.861 and 3.844 Å and the angles 90.00°, 90.00° and 90.00°. The distinct sites, in fractional coordinates, are Mn at (0.000, 0.000, 0.000), Cr at (0.000, 0.500, 0.500), Rh at (0.500, 0.500, 0.000) and C at (0.000, 0.000, 0.500).

=====

No. 6
A relaxed MnCr2RuC crystal, computed with PBE.

Its formation energy is 4.7 kJ per mole of atoms. The total energy comes out at -9.334 eV per atom. As for the magnetic moment: 0.46 μB per formula unit.

The structure belongs to space group P4/mmm (No. 123); the cell edges are 3.845, 3.845 and 3.790 Å and the angles 90.00°, 90.00° and 90.00°. The distinct sites, in fractional coordinates, are Mn at (0.000, 0.000, 0.000), Cr at (0.000, 0.500, 0.500), Ru at (0.500, 0.500, 0.000) and C at (0.000, 0.000, 0.500).

=====

No. 7
A relaxed Mn2CrSbC crystal, computed with PBE.

The total energy comes out at -8.208 eV per atom. As for the magnetic moment: 2.28 μB per formula unit. As for the uncorrected formation energy: 1.23 kcal/mol of atoms.

The structure belongs to space group P4/mmm (No. 123); the cell edges are 3.880, 3.880 and 4.014 Å and the angles 90.00°, 90.00° and 90.00°. The distinct sites, in fractional coordinates, are Mn at (0.000, 0.500, 0.000), Cr at (0.000, 0.000, 0.500), Sb at (0.500, 0.500, 0.500) and C at (0.000, 0.000, 0.000).

=====

No. 8
A relaxed MnCr2SbC crystal, computed with PBE.

The total energy comes out at -8.276 eV per atom. As for the magnetic moment: 3.23 μB per formula unit. As for the uncorrected formation energy: 1.76 kcal/mol of atoms.

The structure belongs to space group P4/mmm (No. 123); the cell edges are 3.966, 3.966 and 3.895 Å and the angles 90.00°, 90.00° and 90.00°. The distinct sites, in fractional coordinates, are Mn at (0.000, 0.000, 0.000), Cr at (0.000, 0.500, 0.500), Sb at (0.500, 0.500, 0.000) and C at (0.000, 0.000, 0.500).

=====

No. 9
A relaxed Sc2Mn2CrC4 crystal, computed with PBE.

Its formation energy is -13.5 kJ per mole of atoms. The total energy comes out at -8.753 eV per atom. As for the magnetic moment: 1.71 μB per formula unit.

The structure belongs to space group C2/m (No. 12); the cell edges are 11.803, 3.153 and 5.248 Å and the angles 90.00°, 105.44° and 90.00°. The distinct sites, in fractional coordinates, are Sc at (0.129, 0.000, 0.040), Mn at (0.170, 0.500, 0.512), Cr at (0.000, 0.000, 0.500), C at (0.021, 0.500, 0.257) and C at (0.224, 0.000, 0.713).

=====

No. 10
A relaxed ScMnCrC2 crystal, computed with PBE.

Its formation energy is -22.1 kJ per mole of atoms. The total energy comes out at -8.943 eV per atom. As for the magnetic moment: 0.00 μB per formula unit.

The structure belongs to space group C2/m (No. 12); the cell edges are 11.396, 3.131 and 7.928 Å and the angles 90.00°, 127.56° and 90.00°. The distinct sites, in fractional coordinates, are Sc at (0.197, 0.000, 0.122), Mn at (0.046, 0.000, 0.680), Cr at (0.144, 0.500, 0.401), C at (0.082, 0.500, 0.845) and C at (0.169, 0.000, 0.581).

=====

No. 11
A relaxed MnCrSiC2 crystal, computed with PBE.

The total energy comes out at -6.450 eV per atom. As for the magnetic moment: 1.49 μB per formula unit. As for the uncorrected formation energy: 48.02 kcal/mol of atoms.

The structure belongs to space group P4/mmm (No. 123); the cell edges are 3.595, 3.595 and 4.607 Å and the angles 90.00°, 90.00° and 90.00°. The distinct sites, in fractional coordinates, are Mn at (0.000, 0.000, 0.000), Cr at (0.500, 0.500, 0.000), Si at (0.500, 0.500, 0.500) and C at (0.000, 0.500, 0.500).

=====

No. 12
A relaxed TaMnCrC2 crystal, computed with PBE.

Its formation energy is 178.6 kJ per mole of atoms. The total energy comes out at -7.968 eV per atom. As for the magnetic moment: 0.10 μB per formula unit.

The structure belongs to space group P4/mmm (No. 123); the cell edges are 3.732, 3.732 and 4.837 Å and the angles 90.00°, 90.00° and 90.00°. The distinct sites, in fractional coordinates, are Ta at (0.000, 0.000, 0.000), Mn at (0.500, 0.500, 0.000), Cr at (0.000, 0.000, 0.500) and C at (0.000, 0.500, 0.500).

=====

No. 13
A relaxed MnCr2TcC crystal, computed with PBE.

Its formation energy is 5.5 kJ per mole of atoms. The total energy comes out at -9.544 eV per atom. As for the magnetic moment: 1.08 μB per formula unit.

The structure belongs to space group P4/mmm (No. 123); the cell edges are 3.851, 3.851 and 3.776 Å and the angles 90.00°, 90.00° and 90.00°. The distinct sites, in fractional coordinates, are Mn at (0.000, 0.000, 0.000), Cr at (0.000, 0.500, 0.500), Tc at (0.500, 0.500, 0.000) and C at (0.000, 0.000, 0.500).

=====

No. 14
A relaxed ThMnCrC3 crystal, computed with PBE.

Its formation energy is -6.5 kJ per mole of atoms. The total energy comes out at -9.048 eV per atom. As for the magnetic moment: 1.56 μB per formula unit.

The structure belongs to space group P2_1/m (No. 11); the cell edges are 5.945, 3.270 and 7.661 Å and the angles 90.00°, 109.16° and 90.00°. The distinct sites, in fractional coordinates, are Th at (0.016, 0.250, 0.238), Mn at (0.469, 0.750, 0.119), Cr at (0.397, 0.750, 0.591), C at (0.230, 0.250, 0.642), C at (0.295, 0.250, 0.015) and C at (0.364, 0.750, 0.340).

=====

No. 15
A relaxed UMnCrC3 crystal, computed with PBE.

Its formation energy is -9.6 kJ per mole of atoms. The total energy comes out at -9.725 eV per atom. As for the magnetic moment: 1.11 μB per formula unit.

The structure belongs to space group P2_1/m (No. 11); the cell edges are 5.578, 3.052 and 7.859 Å and the angles 90.00°, 108.75° and 90.00°. The distinct sites, in fractional coordinates, are U at (0.017, 0.250, 0.224), Mn at (0.472, 0.750, 0.121), Cr at (0.383, 0.750, 0.588), C at (0.198, 0.250, 0.649), C at (0.266, 0.250, 0.005) and C at (0.354, 0.750, 0.336).

=====

No. 16
A relaxed MnCr2WC crystal, computed with PBE.

Its formation energy is 7.1 kJ per mole of atoms. The total energy comes out at -10.045 eV per atom. As for the magnetic moment: 1.60 μB per formula unit.

The structure belongs to space group P4/mmm (No. 123); the cell edges are 3.877, 3.877 and 3.788 Å and the angles 90.00°, 90.00° and 90.00°. The distinct sites, in fractional coordinates, are Mn at (0.000, 0.000, 0.000), Cr at (0.000, 0.500, 0.500), W at (0.500, 0.500, 0.000) and C at (0.000, 0.000, 0.500).

=====

No. 17
A relaxed Mn2ZnCrC crystal, computed with PBE.

Its formation energy is 4.3 kJ per mole of atoms. The total energy comes out at -7.647 eV per atom. As for the magnetic moment: 6.04 μB per formula unit.

The structure belongs to space group P4/mmm (No. 123); the cell edges are 3.844, 3.844 and 3.940 Å and the angles 90.00°, 90.00° and 90.00°. The distinct sites, in fractional coordinates, are Mn at (0.000, 0.500, 0.000), Zn at (0.000, 0.000, 0.500), Cr at (0.500, 0.500, 0.500) and C at (0.500, 0.500, 0.000).

=====

No. 18
A relaxed Cr3Mo3C crystal, computed with PBE.

Its formation energy is -2.4 kJ per mole of atoms. The total energy comes out at -10.109 eV per atom. As for the magnetic moment: 0.00 μB per formula unit.

The structure belongs to space group Fd-3m (No. 227, origin choice 2); the cell edges are 11.239, 11.239 and 11.239 Å and the angles 90.00°, 90.00° and 90.00°. The distinct sites, in fractional coordinates, are Cr at (0.000, 0.000, 0.000), Cr at (0.045, 0.045, 0.205), Mo at (0.068, 0.375, 0.875) and C at (0.000, 0.000, 0.500).

=====

No. 19
A relaxed CrMo3C crystal, computed with PBE.

Its formation energy is 235.4 kJ per mole of atoms. The total energy comes out at -7.829 eV per atom. As for the magnetic moment: 0.00 μB per formula unit. The value obtained for the polymorph energy (0 for the lowest one) is 10.671 eV/f.u.

The structure belongs to space group Pm-3m (No. 221); the cell edges are 4.436, 4.436 and 4.436 Å and the angles 90.00°, 90.00° and 90.00°. The distinct sites, in fractional coordinates, are Cr at (0.000, 0.000, 0.000), Mo at (0.000, 0.000, 0.500) and C at (0.500, 0.500, 0.500).

=====

No. 20
A relaxed CrMoC crystal, computed with PBE.

Its formation energy is -8.5 kJ per mole of atoms. The total energy comes out at -9.981 eV per atom. As for the magnetic moment: 0.00 μB per formula unit. The value obtained for the polymorph energy (0 for the lowest one) is 0.000 eV/f.u.

The structure belongs to space group P2_1/c (No. 14); the cell edges are 4.589, 5.072 and 7.206 Å and the angles 90.00°, 126.04° and 90.00°. The distinct sites, in fractional coordinates, are Cr at (0.127, 0.079, 0.380), Mo at (0.380, 0.581, 0.623) and C at (0.114, 0.244, 0.626).